# 1
## LaPrRh (PBE)

Data for a geometry-optimized LaPrRh structure.

Unit cell a=5.003 b=5.003 c=5.003 alpha=60.00 beta=60.00 gamma=60.00
Element x y z (fractional)
1 Pr 0.500 0.500 0.500
2 Rh 0.250 0.250 0.250
3 La 0.000 0.000 0.000

Output
E_form (eV/f.u.): -1.361
E above lowest polymorph (kJ/mol of formula units): 20

# 2
## LaPr2Rh (PBE)

Data for a geometry-optimized LaPr2Rh structure.

Unit cell a=4.016 b=4.016 c=9.839 alpha=78.23 beta=78.23 gamma=60.00
Element x y z (fractional)
1 La 0.501 0.501 0.497
2 Pr 0.058 0.058 0.827
3 Pr 0.275 0.275 0.174
4 Rh 0.666 0.666 0.001

Output
E_form (eV/f.u.): -1.096
E above lowest polymorph (kJ/mol of formula units): 59

# 3
## La5Pr2Rh5 (PBE)

Data for a geometry-optimized La5Pr2Rh5 structure.

Unit cell a=4.061 b=7.125 c=12.669 alpha=71.94 beta=80.78 gamma=73.44
Element x y z (fractional)
1 La 0.500 0.500 0.500
2 La 0.345 0.259 0.050
3 La 0.261 0.120 0.357
4 La 0.739 0.880 0.643
5 La 0.655 0.741 0.950
6 Pr 0.960 0.296 0.784
7 Pr 0.040 0.704 0.216
8 Rh 0.884 0.804 0.428
9 Rh 0.300 0.587 0.812
10 Rh 0.700 0.413 0.188
11 Rh 0.116 0.196 0.572
12 Rh 0.000 0.000 0.000

Output
E_form (eV/f.u.): -7.759

| no. | M_tot (μB/f.u.) |
| --- | --- |
| 1 | 0.0 |
| 2 | 0.0 |
| 3 | 0.0 |